Below is a relaxed structure of CsBa4Ge4, with properties calculated at the PBE level.

Output
Energy of formation, eV/atom: -0.33
D(E_F), states/eV/f.u.: 5.84

Cell lengths 10.8770, 10.8770, 6.5986 Å; angles 90.00, 90.00, 90.00 degrees
Space group P4_2/n (No. 86, origin choice 2)
Inequivalent atoms, fractional coordinates:
Cs 0.2500 0.2500 0.2500 [2 per cell]
Ba 0.0825 0.6522 0.1138 [8 per cell]
Ge 0.0358 0.5810 0.6167 [8 per cell]